A geometry-optimized Cd2RhSe structure. Source: Alexandria via LeMat-Bulk, functional PBE-GGA.

The structure in POSCAR format:
```
Cd2RhSe
1.0
3.602 0.000 0.000
0.000 3.604 0.000
0.000 0.000 5.870
Cd Rh Se
2 1 1
Direct
0.000 0.000 0.011
0.000 0.000 0.489
0.500 0.500 0.250
0.500 0.500 0.750
```

N(E_F) (states/eV per cell): 2.49
DFT total energy (eV per formula unit): -12.89
SG: P4/mmm
V (Å³/atom): 19.049

---

A geometry-optimized CdRh2Se structure. Source: Alexandria via LeMat-Bulk, functional PBE-GGA.

The structure in POSCAR format:
```
CdRh2Se
1.0
4.207 -0.020 0.011
3.058 2.889 0.011
1.062 0.419 5.667
Cd Rh Se
1 2 1
Direct
0.250 0.250 0.250
0.005 0.005 0.955
0.495 0.495 0.545
0.750 0.750 0.750
```

N(E_F) (states/eV per cell): 3.63
DFT total energy (eV per formula unit): -19.10
SG: C2/m
V (Å³/atom): 17.296

---

A geometry-optimized CdRhSe2 structure. Source: Alexandria via LeMat-Bulk, functional PBE-GGA.

The structure in POSCAR format:
```
CdRhSe2
1.0
6.307 0.025 -0.009
3.610 5.171 0.009
-4.658 -3.171 2.832
Cd Rh Se
1 1 2
Direct
0.750 0.250 0.500
0.250 0.750 0.500
0.097 0.097 0.000
0.403 0.403 0.000
```

N(E_F) (states/eV per cell): 3.82
DFT total energy (eV per formula unit): -16.16
SG: Immm
V (Å³/atom): 23.045

---

A geometry-optimized CdRh2Se structure. Source: Alexandria via LeMat-Bulk, functional PBE-GGA.

The structure in POSCAR format:
```
CdRh2Se
1.0
-1.820 -2.468 0.208
0.908 -0.905 -2.794
5.192 -3.588 2.850
Cd Rh Se
1 2 1
Direct
0.500 0.500 0.750
0.000 0.000 0.032
0.000 0.000 0.468
0.500 0.500 0.250
```

N(E_F) (states/eV per cell): 2.81
DFT total energy (eV per formula unit): -19.45
SG: P4/mmm
V (Å³/atom): 16.357

---

A geometry-optimized CdRhSe2 structure. Source: Alexandria via LeMat-Bulk, functional PBE-GGA.

The structure in POSCAR format:
```
CdRhSe2
1.0
5.850 0.000 0.000
0.000 5.850 0.000
2.925 2.925 6.016
Rh Se Cd
2 4 2
Direct
0.500 0.500 0.000
0.250 0.750 0.500
0.580 0.125 0.250
0.170 0.625 0.250
0.375 0.420 0.750
0.875 0.830 0.750
0.000 0.000 0.000
0.750 0.250 0.500
```

N(E_F) (states/eV per cell): 6.92
DFT total energy (eV per formula unit): -16.12
SG: I-42d
V (Å³/atom): 25.737

---

A geometry-optimized Cd2RhSe structure. Source: Alexandria via LeMat-Bulk, functional PBE-GGA.

The structure in POSCAR format:
```
Cd2RhSe
1.0
-2.600 -1.020 1.408
1.666 -0.738 2.542
-1.303 7.512 3.035
Cd Rh Se
2 1 1
Direct
0.000 0.000 0.007
0.500 0.500 0.284
0.000 0.000 0.527
0.500 0.500 0.682
```

N(E_F) (states/eV per cell): 1.85
DFT total energy (eV per formula unit): -13.00
SG: P4mm
V (Å³/atom): 20.070

---

A geometry-optimized CdRhSe2 structure. Source: Alexandria via LeMat-Bulk, functional PBE-GGA.

The structure in POSCAR format:
```
CdRhSe2
1.0
-2.871 -3.151 3.692
-3.870 -3.705 -1.758
5.331 1.456 -1.126
Cd Rh Se
1 1 2
Direct
0.500 0.500 0.000
0.750 0.250 0.500
0.000 0.000 0.000
0.250 0.750 0.500
```

N(E_F) (states/eV per cell): 2.59
DFT total energy (eV per formula unit): -14.44
SG: I-4m2
V (Å³/atom): 19.013

---

A geometry-optimized Cd2RhSe structure. Source: Alexandria via LeMat-Bulk, functional PBE-GGA.

The structure in POSCAR format:
```
Cd2RhSe
1.0
-2.653 3.377 3.113
-4.408 1.885 -2.270
2.000 -4.863 0.696
Cd Rh Se
2 1 1
Direct
0.000 0.000 0.000
0.250 0.750 0.500
0.500 0.500 0.000
0.750 0.250 0.500
```

N(E_F) (states/eV per cell): 3.69
DFT total energy (eV per formula unit): -12.57
SG: I-4m2
V (Å³/atom): 18.957

---

A geometry-optimized CdRhSe2 structure. Source: Alexandria via LeMat-Bulk, functional PBE-GGA.

The structure in POSCAR format:
```
CdRhSe2
1.0
3.695 0.000 0.000
0.000 4.789 -0.004
0.000 2.456 4.975
Cd Rh Se
1 1 2
Direct
0.500 0.250 0.250
0.500 0.750 0.750
0.000 0.964 0.913
0.000 0.536 0.587
```

N(E_F) (states/eV per cell): 1.50
DFT total energy (eV per formula unit): -16.26
SG: P2/m
V (Å³/atom): 22.023

---

A geometry-optimized CdRhSe structure. Source: Alexandria via LeMat-Bulk, functional PBE-GGA.

The structure in POSCAR format:
```
CdRhSe
1.0
-1.462 0.719 -3.926
-2.715 -0.304 3.257
0.271 3.646 0.567
Cd Rh Se
1 1 1
Direct
0.000 0.000 0.000
0.667 0.333 0.500
0.333 0.667 0.500
```

N(E_F) (states/eV per cell): 2.76
DFT total energy (eV per formula unit): -11.86
Offset from the most stable computed form (meV per atom): 144
SG: P-6m2
V (Å³/atom): 19.299

---

A geometry-optimized CdRh2Se structure. Source: Alexandria via LeMat-Bulk, functional PBE-GGA.

The structure in POSCAR format:
```
CdRh2Se
1.0
-1.860 2.290 -0.746
-1.265 0.116 3.508
4.403 4.051 1.453
Cd Rh Se
1 2 1
Direct
0.500 0.500 0.785
0.000 0.000 0.021
0.500 0.500 0.278
0.000 0.000 0.417
```

N(E_F) (states/eV per cell): 3.06
DFT total energy (eV per formula unit): -19.34
SG: Pmm2
V (Å³/atom): 17.476

---

A geometry-optimized CdRh2Se structure. Source: Alexandria via LeMat-Bulk, functional PBE-GGA.

The structure in POSCAR format:
```
CdRh2Se
1.0
-5.267 -1.098 6.327
-4.431 -4.018 5.762
-2.661 -2.222 7.547
Cd Rh Se
1 2 1
Direct
0.750 0.750 0.750
0.990 0.990 0.990
0.510 0.510 0.510
0.250 0.250 0.250
```

N(E_F) (states/eV per cell): 3.00
DFT total energy (eV per formula unit): -19.29
SG: R-3m
V (Å³/atom): 16.764

---

A geometry-optimized CdRhSe structure. Source: Alexandria via LeMat-Bulk, functional PBE-GGA.

The structure in POSCAR format:
```
CdRhSe
1.0
4.414 0.000 0.000
2.207 3.823 0.000
2.207 1.274 3.604
Cd Rh Se
1 1 1
Direct
0.500 0.500 0.500
0.750 0.750 0.750
0.000 0.000 0.000
```

N(E_F) (states/eV per cell): 3.30
DFT total energy (eV per formula unit): -11.91
Offset from the most stable computed form (meV per atom): 127
SG: F-43m
V (Å³/atom): 20.273

---

A geometry-optimized CdRhSe2 structure. Source: Alexandria via LeMat-Bulk, functional PBE-GGA.

The structure in POSCAR format:
```
CdRhSe2
1.0
3.962 -0.881 -0.305
2.731 3.002 -0.305
0.471 0.149 5.773
Cd Rh Se
1 1 2
Direct
0.375 0.375 0.750
0.375 0.375 0.250
0.041 0.041 0.055
0.708 0.708 0.445
```

N(E_F) (states/eV per cell): 1.86
DFT total energy (eV per formula unit): -16.51
SG: C2/m
V (Å³/atom): 20.792

---

A geometry-optimized CdRhSe2 structure. Source: Alexandria via LeMat-Bulk, functional PBE-GGA.

The structure in POSCAR format:
```
CdRhSe2
1.0
3.772 0.000 0.000
0.000 3.768 0.000
0.000 0.000 5.807
Cd Rh Se
1 1 2
Direct
0.000 0.000 0.427
0.500 0.500 0.882
0.000 0.000 0.886
0.500 0.500 0.305
```

N(E_F) (states/eV per cell): 2.61
DFT total energy (eV per formula unit): -15.78
SG: P4mm
V (Å³/atom): 20.633

---

A geometry-optimized Cd4RhSe structure. Source: Alexandria via LeMat-Bulk, functional PBE-GGA.

The structure in POSCAR format:
```
Cd4RhSe
1.0
0.400 -3.852 -4.088
1.140 -5.362 1.286
-3.986 -3.938 -0.558
Cd Rh Se
4 1 1
Direct
0.874 0.375 0.375
0.375 0.375 0.874
0.375 0.874 0.375
0.375 0.375 0.375
0.750 0.750 0.750
0.000 0.000 0.000
```

N(E_F) (states/eV per cell): 5.06
DFT total energy (eV per formula unit): -12.62
SG: F-43m
V (Å³/atom): 21.038

---

A geometry-optimized CdRhSe2 structure. Source: Alexandria via LeMat-Bulk, functional PBE-GGA.

The structure in POSCAR format:
```
CdRhSe2
1.0
-1.445 1.867 -2.018
-2.266 0.483 2.070
4.351 6.799 3.174
Cd Rh Se
1 1 2
Direct
0.000 0.000 0.529
0.500 0.500 0.764
0.000 0.000 0.910
0.500 0.500 0.296
```

N(E_F) (states/eV per cell): 1.71
DFT total energy (eV per formula unit): -15.60
SG: P4mm
V (Å³/atom): 20.925

---

A geometry-optimized CdRh2Se structure. Source: Alexandria via LeMat-Bulk, functional PBE-GGA.

The structure in POSCAR format:
```
CdRh2Se
1.0
4.640 0.000 0.000
0.000 3.208 -0.430
0.000 0.632 4.732
Cd Rh Se
1 2 1
Direct
0.500 0.875 0.746
0.000 0.875 0.079
0.500 0.375 0.235
0.000 0.375 0.440
```

N(E_F) (states/eV per cell): 2.53
DFT total energy (eV per formula unit): -19.34
SG: Pmm2
V (Å³/atom): 17.927

---

A geometry-optimized Cd2RhSe structure. Source: Alexandria via LeMat-Bulk, functional PBE-GGA.

The structure in POSCAR format:
```
Cd2RhSe
1.0
-2.943 -1.532 3.403
1.759 -1.881 3.994
-0.339 2.382 4.098
Cd Rh Se
2 1 1
Direct
0.000 0.000 0.000
0.250 0.250 0.250
0.500 0.500 0.500
0.750 0.750 0.750
```

N(E_F) (states/eV per cell): 4.09
DFT total energy (eV per formula unit): -12.20
SG: F-43m
V (Å³/atom): 18.977

---

A geometry-optimized CdRhSe2 structure. Source: Alexandria via LeMat-Bulk, functional PBE-GGA.

The structure in POSCAR format:
```
CdRhSe2
1.0
-3.032 -0.095 0.650
0.651 -0.242 3.023
-0.115 8.574 0.712
Cd Rh Se
1 1 2
Direct
0.500 0.500 0.250
0.500 0.500 0.750
0.000 0.000 0.930
0.000 0.000 0.570
```

N(E_F) (states/eV per cell): 1.72
DFT total energy (eV per formula unit): -15.14
SG: P4/mmm
V (Å³/atom): 20.700